# CrBiP2Br | the Alexandria database | PBEsol | optimized geometry
data_CrBiP2Br
_chemical_formula_sum 'Cr1 Bi1 P2 Br1'
_cell_length_a 4.9884
_cell_length_b 4.9884
_cell_length_c 4.6375
_cell_angle_alpha 90.00
_cell_angle_beta 90.00
_cell_angle_gamma 90.00
_symmetry_space_group_name_H-M 'P 4/m m m'
_symmetry_Int_Tables_number 123
_symmetry_space_group_name_Hall '-P 4 2'
loop_
_atom_site_label
_atom_site_fract_x
_atom_site_fract_y
_atom_site_fract_z
_atom_site_occupancy
Cr1 0.0000 0.0000 0.0000 1
Bi1 0.5000 0.5000 0.0000 1
P1 0.0000 0.5000 0.5000 1
Br1 0.0000 0.0000 0.5000 1
# Calculated total energy: -22.35 eV/cell
# Formation energy without anion corrections: 1.127 eV per atom